No. 1
An optimized crystal structure of HfUSb3, computed with PBE-GGA.

- E_form (uncorrected) (eV/atom) = -0.32

a b c (Å): 6.3117 6.3701 12.9922
angles (deg): 90.00 90.00 90.00
Positions (direct):
Sb1 0.7500 0.8746 0.0820
Sb2 0.2500 0.1254 0.9180
Sb3 0.7500 0.9916 0.7497
Sb4 0.5000 0.7500 0.5015
Sb5 0.2500 0.6254 0.0820
Sb6 0.5000 0.2500 0.4985
Sb7 0.0000 0.2500 0.4985
Sb8 0.7500 0.3746 0.9180
Sb9 0.2500 0.5084 0.7497
Sb10 0.7500 0.4916 0.2503
Sb11 0.2500 0.0084 0.2503
Sb12 0.0000 0.7500 0.5015
Hf1 0.0000 0.2500 0.0959
Hf2 0.0000 0.7500 0.9041
Hf3 0.5000 0.7500 0.9041
Hf4 0.5000 0.2500 0.0959
U1 0.7500 0.4932 0.6828
U2 0.2500 0.0068 0.6828
U3 0.2500 0.5068 0.3172
U4 0.7500 0.9932 0.3172

***

No. 2
An optimized crystal structure of CoReOs2, computed with PBE-GGA.

- energy above the most stable polymorph in this dataset (eV per atom) = 0.017
- ΔH_f (0 K) (eV/f.u.) = 0.42

a b c (Å): 3.7797 2.6963 5.9895
angles (deg): 63.27 90.00 90.00
Positions (direct):
Os1 0.0000 0.0112 0.9878
Os2 0.5000 0.2536 0.2464
Re1 0.0000 0.4858 0.5148
Co1 0.5000 0.7495 0.7510

***

No. 3
An optimized crystal structure of PmErLuHg, computed with PBE-GGA.

- ΔH_f (0 K) (eV/f.u.) = 0.01

a b c (Å): 5.3841 5.3841 5.3841
angles (deg): 60.00 60.00 60.00
Positions (direct):
Hg1 0.5000 0.5000 0.5000
Er1 0.2500 0.2500 0.2500
Pm1 0.0000 0.0000 0.0000
Lu1 0.7500 0.7500 0.7500

***

No. 4
An optimized crystal structure of Be2CrW, computed with PBE-GGA.

- energy above the most stable polymorph in this dataset (eV per atom) = 0.234
- ΔH_f (0 K) (eV/f.u.) = 0.65

a b c (Å): 5.2606 4.4199 2.5416
angles (deg): 85.15 70.06 119.80
Positions (direct):
Be1 0.0000 0.0000 0.0000
Be2 0.5000 0.0000 0.5000
Cr1 0.0000 0.5000 0.5000
W1 0.5000 0.5000 0.0000

***

Table of density of states at the Fermi level (states/eV/f.u.), in record order: 6.702 4.536 6.673 1.679